First-principles (SCAN) data for a crystal of Li3CO relaxed with PBEsol, as listed in the Alexandria database.

Results
formation energy from raw total energies	-0.38	eV/atom

Lattice parameters (Å, degrees): 3.7444 3.7444 3.7444 90.00 90.00 90.00
Space group Pm-3m (No. 221)
Asymmetric unit:
Li  0.0000  0.0000  0.5000 [3 per cell]
C  0.5000  0.5000  0.5000 [1 per cell]
O  0.0000  0.0000  0.0000 [1 per cell]

---

First-principles (SCAN) data for a crystal of BiN3Cl relaxed with PBEsol, as listed in the Alexandria database.

Results
formation energy from raw total energies	2.38	eV/atom
Fermi-level density of states	0.67	states/eV per atom

Lattice parameters (Å, degrees): 3.8804 3.8804 3.8804 90.00 90.00 90.00
Space group Pm-3m (No. 221)
Asymmetric unit:
Bi  0.0000  0.0000  0.0000 [1 per cell]
N  0.0000  0.5000  0.5000 [3 per cell]
Cl  0.5000  0.5000  0.5000 [1 per cell]

---

First-principles (SCAN) data for a crystal of CsBiI2N relaxed with PBEsol, as listed in the Alexandria database.

Results
formation energy from raw total energies	1.20	eV/atom
Fermi-level density of states	1.09	states/eV per atom

Lattice parameters (Å, degrees): 6.6832 6.6832 4.4094 90.00 90.00 90.00
Space group P4/mmm (No. 123)
Asymmetric unit:
Cs  0.0000  0.0000  0.0000 [1 per cell]
Bi  0.5000  0.5000  0.5000 [1 per cell]
I  0.0000  0.5000  0.0000 [2 per cell]
N  0.0000  0.0000  0.5000 [1 per cell]

---

First-principles (SCAN) data for a crystal of Na2LiBH relaxed with PBEsol, as listed in the Alexandria database.

Results
uncorrected energy	-3.593	eV per atom

Lattice parameters (Å, degrees): 5.1419 5.1419 4.3254 90.00 90.00 90.00
Space group P4/mmm (No. 123)
Asymmetric unit:
Na  0.0000  0.5000  0.0000 [2 per cell]
Li  0.0000  0.0000  0.5000 [1 per cell]
B  0.0000  0.0000  0.0000 [1 per cell]
H  0.5000  0.5000  0.5000 [1 per cell]

---

no.,total magnetization (μB/f.u.)
1,3.0
2,0.0
3,1.1
4,3.0